FeTc2F2 | PBE+U | optimized geometry

The excess energy over the best structure of this formula in the dataset comes out at 601.6 meV/atom. The volume comes out at 15.319 Å³ per atom.

The space group is P4/mbm (No. 127) and the conventional cell measures 6.1077, 6.1077 and 4.1066 Å, with angles of 90.00, 90.00 and 90.00 degrees. The distinct sites, in fractional coordinates, are Fe at (0.0000, 0.0000, 0.0000), Tc at (0.1303, 0.3697, 0.0000) and F at (0.1580, 0.3420, 0.5000).